GGA-PBE YAlIr, relaxed; energy relative to the elements = 0.26 eV per atom; DOS at the Fermi energy = 2.58 states/eV per cell; total magnetic moment = 0.00 μB per formula unit
1.0
-4.273 0.893 -1.563
-1.742 -2.461 -3.522
-3.426 -3.030 0.760
Al Ir Y
1 1 1
direct
0.000 0.000 0.000
0.500 0.500 0.500
0.250 0.250 0.250

***

GGA-PBE ScSb3, relaxed; formation energy without anion corrections = -0.24 eV/atom; DOS at the Fermi energy = 2.30 states/eV per cell; total magnetic moment = 0.00 μB per formula unit
1.0
-0.844 -0.290 -5.141
3.771 -3.530 0.736
-2.650 -2.708 0.588
Sb Sc
3 1
direct
0.000 0.500 0.500
0.500 0.000 0.500
0.500 0.500 0.000
0.000 0.000 0.000

***

GGA-PBE Ho2Zn3CuNi12, relaxed; energy relative to the elements = 0.06 eV per atom; DOS at the Fermi energy = 24.16 states/eV per cell; total magnetic moment = 0.00 μB per formula unit
1.0
10.417 3.042 2.158
7.790 7.555 2.158
7.790 4.534 6.417
Ni Cu Ho Zn
12 1 2 3
direct
0.404 0.859 0.404
0.141 0.596 0.596
0.859 0.404 0.404
0.891 0.891 0.388
0.891 0.388 0.891
0.596 0.141 0.596
0.109 0.612 0.109
0.612 0.109 0.109
0.596 0.596 0.141
0.404 0.404 0.859
0.388 0.891 0.891
0.109 0.109 0.612
0.000 0.000 0.000
0.641 0.641 0.641
0.359 0.359 0.359
0.000 0.000 0.500
0.500 0.000 0.000
0.000 0.500 0.000